# 1
11
Lattice="-2.0811 3.9880 7.7263 2.0811 -3.9880 7.7263 2.0811 3.9880 -7.7263" Properties=species:S:1:pos:R:3 comment="Pr3In4Pt4 GGA-PBE relaxed" m_tot_mub_per_fu=0.00 e_tot_ev_per_atom=-5.351 spacegroup="Immm (71)" pbc="T T T"
Pr 0.0000 0.0000 0.0000
Pr 2.0811 0.0000 5.9347
Pr 0.0000 3.9880 1.7916
In 2.0811 1.5712 -2.6518
In 2.0811 1.5712 2.6518
In 0.0000 2.4168 5.0746
In 0.0000 2.4168 10.3781
Pt 0.0000 0.0000 3.5364
Pt 2.0811 2.3869 0.0000
Pt 0.0000 1.6011 7.7263
Pt 0.0000 0.0000 11.9162

# 2
6
Lattice="0.0000 3.9237 3.9237 3.9237 0.0000 3.9237 3.9237 3.9237 0.0000" Properties=species:S:1:pos:R:3 comment="Ta4PPb GGA-PBE relaxed" m_tot_mub_per_fu=0.00 e_tot_ev_per_atom=-8.773 spacegroup="F-43m (216)" pbc="T T T"
Ta 0.9838 0.9838 0.9838
Ta 2.9399 2.9399 0.9838
Ta 2.9399 0.9838 2.9399
Ta 0.9838 2.9399 2.9399
P 5.8855 5.8855 5.8855
Pb 3.9237 3.9237 3.9237

# 3
4
Lattice="-1.6938 2.4896 4.8097 1.6938 -2.4896 4.8097 1.6938 2.4896 -4.8097" Properties=species:S:1:pos:R:3 comment="ScIn2Rh GGA-PBE relaxed" m_tot_mub_per_fu=0.00 e_tot_ev_per_atom=-5.146 spacegroup="Immm (71)" pbc="T T T"
Sc 0.0000 0.0000 0.0000
In 1.6938 0.0000 2.6349
In 0.0000 2.4896 2.1748
Rh 0.0000 0.0000 4.8097

# 4
16
Lattice="8.1334 0.0000 0.0000 0.0000 9.4115 0.0000 -2.7226 0.0000 7.6717" Properties=species:S:1:pos:R:3 comment="Ac3HoSb4 GGA-PBE relaxed" formation_energy_uncorrected_mev_per_atom=-1158 m_tot_mub_per_fu=0.00 relative_energy_kcal_per_mol_atoms=0.000 e_tot_ev_per_atom=-5.332 spacegroup="P2/c (13)" pbc="T T T"
Ac -0.6807 1.1618 1.9179
Ac -2.0420 3.5027 5.7538
Ac -0.6807 5.9087 1.9179
Ac -2.0420 8.2497 5.7538
Ac 3.3860 3.5098 1.9179
Ac 2.0247 5.9017 5.7538
Ho 2.0247 1.1573 5.7538
Ho 3.3860 8.2542 1.9179
Sb 0.7100 3.4469 3.9055
Sb 2.0713 5.9646 0.0696
Sb -0.5468 1.0914 7.6657
Sb 0.8145 8.3201 3.8298
Sb 4.5962 1.0914 3.8419
Sb 5.9575 8.3201 0.0061
Sb 3.3395 3.4469 7.6021
Sb 4.7008 5.9646 3.7663

# 5
4
Lattice="1.5796 0.9120 8.0787 -1.5796 0.9120 8.0787 0.0000 -1.8240 8.0787" Properties=species:S:1:pos:R:3 comment="AlMoS2 GGA-PBE relaxed" formation_energy_uncorrected_mev_per_atom=-391 m_tot_mub_per_fu=0.00 e_tot_ev_per_atom=-6.098 spacegroup="R-3m (166)" pbc="T T T"
Al 0.0000 0.0000 0.0000
Mo 0.0000 0.0000 12.1181
S 0.0000 0.0000 2.4306
S 0.0000 0.0000 21.8057

# 6
9
Lattice="7.0327 -1.6048 0.0000 7.0327 1.6048 0.0000 -1.8935 0.0000 8.0474" Properties=species:S:1:pos:R:3 comment="Tl2Tc2MoS4 GGA-PBE relaxed" formation_energy_uncorrected_mev_per_atom=-370 m_tot_mub_per_fu=0.00 e_tot_ev_per_atom=-6.237 spacegroup="C2/m (12)" pbc="T T T"
Tl 1.8914 0.0000 0.4381
Tl 10.2804 0.0000 7.6093
Tc 3.6383 0.0000 4.4766
Tc 8.5335 0.0000 3.5708
Mo -0.9468 0.0000 4.0237
S 1.3624 0.0000 5.2231
S 5.5306 0.0000 5.8173
S 6.6412 0.0000 2.2301
S 10.8095 0.0000 2.8242

# 7
5
Lattice="4.9812 0.0000 0.0000 0.0000 4.9812 0.0000 0.0000 0.0000 5.0388" Properties=species:S:1:pos:R:3 comment="NaHfPS2 GGA-PBE relaxed" formation_energy_uncorrected_mev_per_atom=-653 m_tot_mub_per_fu=0.61 relative_energy_kcal_per_mol_atoms=0.000 e_tot_ev_per_atom=-5.640 spacegroup="P4/mmm (123)" pbc="T T T"
Na 0.0000 0.0000 0.0000
Hf 2.4906 2.4906 2.5194
P 2.4906 2.4906 0.0000
S 0.0000 2.4906 2.5194
S 2.4906 0.0000 2.5194

# 8
8
Lattice="2.1668 1.2510 9.6945 -2.1668 1.2510 9.6945 0.0000 -2.5020 9.6945" Properties=species:S:1:pos:R:3 comment="NdAl4PtAu2 GGA-PBE relaxed" m_tot_mub_per_fu=0.00 e_tot_ev_per_atom=-4.700 spacegroup="R-3m (166)" pbc="T T T"
Nd 0.0000 0.0000 0.0000
Al 0.0000 0.0000 3.9588
Al 0.0000 0.0000 12.0109
Al 0.0000 0.0000 17.0727
Al 0.0000 0.0000 25.1248
Pt 0.0000 0.0000 14.5418
Au 0.0000 0.0000 7.7725
Au 0.0000 0.0000 21.3111